Material: Hf2HgRu
Method: DFT, GGA-PBE
State: optimized geometry

Properties
E_tot (hartree per atom): -0.2851
Crystal system: tetragonal
Size of the total moment (Bohr magnetons per cell): 0.0
DFT formation energy (eV per atom): -0.387

Cell lengths 3.2041, 3.2041, 7.5050 Å; angles 90.00, 90.00, 90.00 degrees
Space group P4/mmm (No. 123)
Unique sites:
Hf (0.0000, 0.0000, 0.2180) x2
Hg (0.5000, 0.5000, 0.5000) x1
Ru (0.5000, 0.5000, 0.0000) x1